# 1
A geometry-optimized Ca3AlBi structure. Source: the Alexandria database, functional PBE-GGA.

Properties
* space group: Pm-3m
* polymorph energy (0 for the lowest one): 71 meV/atom
* ΔH_f (0 K): 1 kJ/mol of atoms

Lattice parameters (Å, degrees): 5.9481 5.9481 5.9481 90.00 90.00 90.00
Positions (direct):
Ca: 0.0000 0.0000 0.5000
Bi: 0.0000 0.0000 0.0000
Ca: 0.0000 0.5000 0.0000
Ca: 0.5000 0.0000 0.0000
Al: 0.5000 0.5000 0.5000

# 2
A geometry-optimized Y5Zn2Ag structure. Source: the Alexandria database, functional PBE-GGA.

Properties
* space group: I4/mcm
* ΔH_f (0 K): -23 kJ/mol of atoms

Lattice parameters (Å, degrees): 7.3844 7.3844 9.2938 113.41 113.41 90.00
Positions (direct):
Zn: 0.8783 0.6217 0.0000
Ag: 0.7500 0.7500 0.5000
Zn: 0.3783 0.8783 0.0000
Y: 0.6828 0.1828 0.7010
Y: 0.4819 0.3172 0.2990
Y: 0.3172 0.8172 0.2990
Y: 0.9819 0.4819 0.2990
Ag: 0.2500 0.2500 0.5000
Y: 0.5181 0.6828 0.7010
Zn: 0.1217 0.3783 0.0000
Y: 0.5000 0.5000 0.0000
Y: 0.8172 0.9819 0.2990
Y: 0.0181 0.5181 0.7010
Zn: 0.6217 0.1217 0.0000
Y: 0.1828 0.0181 0.7010
Y: 0.0000 0.0000 0.0000

# 3
A geometry-optimized Li5Ac2Sn4 structure. Source: the Alexandria database, functional PBE-GGA.

Properties
* space group: Fmmm
* ΔH_f (0 K): -39 kJ/mol of atoms

Lattice parameters (Å, degrees): 6.5818 6.1967 8.8112 78.56 68.07 57.92
Last column: magnetic moment on the atom in μB.
Positions (direct):
Sn: 0.5001 0.2804 0.7195  0.00
Sn: 0.4999 0.7196 0.2805  0.00
Li: 0.5000 0.0000 0.0000  0.01
Ac: 0.1559 0.0000 0.6883  0.06
Ac: 0.8441 0.0000 0.3117  0.06
Li: 0.2500 0.5000 0.5000  0.01
Sn: 0.2196 0.2804 0.2805  0.00
Li: 0.5000 0.5000 0.0000  0.01
Li: 0.0000 0.5000 0.0000  0.01
Sn: 0.7804 0.7196 0.7195  0.00
Li: 0.7500 0.5000 0.5000  0.01

# 4
A geometry-optimized KBa8Rh4 structure. Source: the Alexandria database, functional PBE-GGA.

Properties
* space group: Cm
* ΔH_f (0 K): -13 kJ/mol of atoms

Lattice parameters (Å, degrees): 4.5992 11.3802 11.6338 82.15 78.60 78.34
Positions (direct):
Rh: 0.6591 0.1800 0.5017
Ba: 0.8477 0.9864 0.3182
Rh: 0.3725 0.8232 0.4318
Ba: 0.8001 0.3583 0.0414
Ba: 0.8817 0.6782 0.5585
Ba: 0.1836 0.0168 0.6159
Rh: 0.1742 0.5013 0.1502
Ba: 0.5554 0.6607 0.2284
Rh: 0.8571 0.5021 0.7838
K: 0.5152 0.0021 0.9675
Ba: 0.1502 0.3248 0.3749
Ba: 0.2313 0.6455 0.8920
Ba: 0.4761 0.3428 0.7051

# 5
A geometry-optimized Be2CrTc structure. Source: the Alexandria database, functional PBE-GGA.

Properties
* space group: Cmmm
* polymorph energy (0 for the lowest one): 179 meV/atom
* ΔH_f (0 K): 9 kJ/mol of atoms

Lattice parameters (Å, degrees): 2.4870 2.4870 7.2585 90.00 90.00 101.66
Positions (direct):
Tc: 0.5000 0.5000 0.7500
Be: 0.0000 0.0000 0.0087
Be: 0.0000 0.0000 0.4913
Cr: 0.5000 0.5000 0.2500

# 6
A geometry-optimized PrMnSi2 structure. Source: the Alexandria database, functional PBE-GGA.

Properties
* formation energy (no corrections): -596.1 meV per atom
* space group: Cmcm

Lattice parameters (Å, degrees): 9.0411 9.0411 4.0217 90.00 90.00 153.87
Last column: magnetic moment on the atom in μB.
Positions (direct):
Mn: 0.7498 0.2502 0.2500  1.98
Si: 0.5362 0.4638 0.7500  -0.01
Si: 0.4638 0.5362 0.2500  -0.01
Pr: 0.1019 0.8981 0.2500  -0.01
Si: 0.6785 0.3215 0.7500  -0.08
Pr: 0.8981 0.1019 0.7500  -0.01
Si: 0.3215 0.6785 0.2500  -0.08
Mn: 0.2502 0.7498 0.7500  1.98

# 7
A geometry-optimized Ac2LaThAs4 structure. Source: the Alexandria database, functional PBE-GGA.

Properties
* space group: P2/m
* ΔH_f (0 K): -144 kJ/mol of atoms

Lattice parameters (Å, degrees): 4.4157 7.6509 7.6765 109.33 90.00 90.00
Positions (direct):
Ac: 0.5000 0.0000 0.5000
As: 0.0000 0.2491 0.7643
Th: 0.0000 0.0000 0.0000
As: 0.5000 0.7605 0.7671
La: 0.5000 0.5000 0.0000
Ac: 0.0000 0.5000 0.5000
As: 0.0000 0.7509 0.2357
As: 0.5000 0.2395 0.2329

# 8
A geometry-optimized Ba2SrHg4 structure. Source: the Alexandria database, functional PBE-GGA.

Properties
* space group: I4/mmm
* ΔH_f (0 K): -38 kJ/mol of atoms

Lattice parameters (Å, degrees): 6.0020 6.0020 8.4156 110.89 110.89 90.00
Positions (direct):
Hg: 0.8921 0.3921 0.7843
Hg: 0.3921 0.8921 0.7843
Hg: 0.1079 0.6079 0.2157
Ba: 0.7199 0.7199 0.4397
Hg: 0.6079 0.1079 0.2157
Sr: 0.0000 0.0000 0.0000
Ba: 0.2801 0.2801 0.5603

# 9
A geometry-optimized CaB3Ru2 structure. Source: the Alexandria database, functional PBE-GGA.

Properties
* space group: Imma
* ΔH_f (0 K): -12 kJ/mol of atoms

Lattice parameters (Å, degrees): 5.9958 6.2398 6.2398 50.67 61.29 61.29
Positions (direct):
Ru: 0.3856 0.4191 0.4191
Ca: 0.8949 0.7500 0.7500
B: 0.5000 0.8332 0.1668
Ca: 0.1051 0.2500 0.2500
B: 0.0000 0.6669 0.3332
Ru: 0.2762 0.9191 0.9191
Ru: 0.7238 0.0809 0.0809
B: 0.5000 0.5000 0.0000
B: 0.5000 0.1668 0.8332
Ru: 0.6144 0.5809 0.5809
B: 0.5000 0.0000 0.5000
B: 0.0000 0.3332 0.6669

# 10
A geometry-optimized La2NdNi6 structure. Source: the Alexandria database, functional PBE-GGA.

Properties
* space group: P6/mmm
* ΔH_f (0 K): -31 kJ/mol of atoms

Lattice parameters (Å, degrees): 4.0214 7.0335 7.0335 120.00 90.00 90.00
Last column: magnetic moment on the atom in μB.
Positions (direct):
La: 0.0000 0.6667 0.3333  -0.01
Ni: 0.5000 0.0000 0.3325  0.13
Ni: 0.5000 0.6675 0.0000  0.13
Ni: 0.5000 0.6675 0.6675  0.13
Ni: 0.5000 0.3325 0.0000  0.13
Ni: 0.5000 0.3325 0.3325  0.13
La: 0.0000 0.3333 0.6667  -0.01
Nd: 0.0000 0.0000 0.0000  0.00
Ni: 0.5000 0.0000 0.6675  0.13

# 11
A geometry-optimized ScPd7Au2 structure. Source: the Alexandria database, functional PBE-GGA.

Properties
* space group: Cmmm
* ΔH_f (0 K): 11 kJ/mol of atoms

Lattice parameters (Å, degrees): 4.3408 7.6289 7.6289 123.22 90.00 90.00
Positions (direct):
Pd: 0.5000 0.5000 0.5000
Pd: 0.5000 0.9209 0.7157
Au: 0.5000 0.2993 0.7007
Pd: 0.0000 0.1880 0.8120
Pd: 0.5000 0.2843 0.0791
Pd: 0.5000 0.7157 0.9209
Sc: 0.0000 0.0000 0.0000
Pd: 0.5000 0.0791 0.2843
Pd: 0.0000 0.8120 0.1880
Au: 0.5000 0.7007 0.2993

# 12
A geometry-optimized YHCl2 structure. Source: the Alexandria database, functional PBE-GGA.

Properties
* raw total energy: -16.92 eV per cell
* space group: R-3m

Lattice parameters (Å, degrees): 7.4809 7.4809 7.4809 27.81 27.81 27.81
Positions (direct):
Y: 0.5000 0.5000 0.5000
Cl: 0.0755 0.0755 0.0755
Cl: 0.9245 0.9245 0.9245
H: 0.0000 0.0000 0.0000

In order of appearance, D(E_F) = 5.3, 8.6, 6.5, 10.3, 2.7, 1.5, 1.9, 8.1, 3.0, 10.8, 15.1, 0.1 states/eV/f.u..
In order of appearance, theoretical density = 2.81, 5.41, 5.66, 4.42, 6.35, 5.78, 7.63, 7.39, 5.96, 7.46, 9.30, 3.32 g/cm3.
In order of appearance, total magnetization = 0.00, 0.00, 0.81, 0.00, 0.00, 1.92, 0.00, 0.00, 0.00, 0.73, 0.00, 0.00 μB per formula unit.